Record 1
This record from the Alexandria database describes a relaxed structure of CsK3Zn4H12. The functional is PBE-GGA.

Crystal system   trigonal
VASP energy   -153.70 eV per cell
Density of states at the Fermi level   0.00 states/eV per atom
Spin magnetization   0.00 μB/f.u.

Cell lengths 12.2033, 12.2033, 9.1211 Å; angles 90.00, 90.00, 120.00 degrees
Space group R32 (No. 155, hexagonal axes)
Unique sites:
Cs 0.0000 0.0000 0.0000
K 0.0000 0.5489 0.0000
Zn 0.0000 0.0000 0.5000
Zn 0.0000 0.4382 0.5000
H 0.0000 0.5707 0.5000
H 0.0000 0.8682 0.5000
H 0.0268 0.2283 0.1584

Record 2
This record from the Alexandria database describes a relaxed structure of HfTi2V. The functional is PBE-GGA.

Crystal system   tetragonal
VASP energy   -131.74 eV per cell
Energy relative to the lowest polymorph listed for this composition   1.63 eV/f.u.
Energy of formation   186 kJ/mol of formula units
Density of states at the Fermi level   1.12 states/eV per atom
Spin magnetization   0.00 μB/f.u.

Cell lengths 7.159, 7.159, 5.586 Å; angles 90.00, 90.00, 90.00 degrees
Space group I-42d (No. 122)
Unique sites:
Hf 0.000 0.000 0.000
Ti 0.220 0.250 0.625
V 0.000 0.000 0.500

Record 3
This record from the Alexandria database describes a relaxed structure of Hg2IrRh. The functional is PBE-GGA.

Crystal system   trigonal
VASP energy   -46.17 eV per cell
Energy relative to the lowest polymorph listed for this composition   0.26 eV/f.u.
Energy of formation   138 kJ/mol of formula units
Density of states at the Fermi level   1.28 states/eV per atom
Spin magnetization   0.00 μB/f.u.

Cell lengths 2.9272, 2.9272, 29.1249 Å; angles 90.00, 90.00, 120.00 degrees
Space group R3m (No. 160, hexagonal axes)
Unique sites:
Hg 0.0000 0.0000 0.0000
Hg 0.0000 0.0000 0.2352
Ir 0.0000 0.0000 0.4845
Rh 0.0000 0.0000 0.7487

Record 4
This record from the Alexandria database describes a relaxed structure of LaNi2Os. The functional is PBE-GGA.

Crystal system   trigonal
VASP energy   -75.72 eV per cell
Energy relative to the lowest polymorph listed for this composition   3.02 eV/f.u.
Energy of formation   239 kJ/mol of formula units
Density of states at the Fermi level   1.61 states/eV per atom
Spin magnetization   0.57 μB/f.u.

Cell lengths 2.8509, 2.8509, 27.4555 Å; angles 90.00, 90.00, 120.00 degrees
Space group R-3m (No. 166, hexagonal axes)
Unique sites:
La 0.0000 0.0000 0.0000
Ni 0.0000 0.0000 0.2383
Os 0.0000 0.0000 0.5000

Record 5
This record from the Alexandria database describes a relaxed structure of Pr4Mg5Ag2. The functional is PBE-GGA.

Crystal system   monoclinic
VASP energy   -33.96 eV per cell
Energy of formation   -112 kJ/mol of formula units
Density of states at the Fermi level   0.92 states/eV per atom
Spin magnetization   0.00 μB/f.u.

Cell lengths 8.153, 3.578, 10.568 Å; angles 90.00, 93.38, 90.00 degrees
Space group P2/m (No. 10)
Unique sites:
Pr 0.159 0.000 0.376
Pr 0.259 0.000 0.947
Mg 0.200 0.500 0.666
Mg 0.436 0.500 0.202
Mg 0.500 0.500 0.500
Ag 0.060 0.500 0.137

Record 6
This record from the Alexandria database describes a relaxed structure of CdMoSe2. The functional is PBE-GGA.

Crystal system   monoclinic
ΔE_f (raw)   73 meV per atom
VASP energy   -18.43 eV per cell
Energy relative to the lowest polymorph listed for this composition   1.49 eV/f.u.
Density of states at the Fermi level   0.59 states/eV per atom
Spin magnetization   0.00 μB/f.u.

Cell lengths 3.567, 5.049, 4.865 Å; angles 90.00, 111.42, 90.00 degrees
Space group Pm (No. 6)
Unique sites:
Cd 0.000 0.000 0.000
Mo 0.372 0.500 0.742
Se 0.286 0.000 0.571
Se 0.668 0.500 0.331

Record 7
This record from the Alexandria database describes a relaxed structure of YTaMn4. The functional is PBE-GGA.

Crystal system   cubic
VASP energy   -218.79 eV per cell
Energy of formation   29 kJ/mol of formula units
Density of states at the Fermi level   1.09 states/eV per atom
Spin magnetization   3.03 μB/f.u.

Cell lengths 7.033, 7.033, 7.033 Å; angles 90.00, 90.00, 90.00 degrees
Space group F-43m (No. 216)
Unique sites:
Y 0.000 0.000 0.000
Ta 0.250 0.250 0.750
Mn 0.124 0.124 0.376

Record 8
This record from the Alexandria database describes a relaxed structure of TeIF2. The functional is PBE-GGA.

Crystal system   trigonal
ΔE_f (raw)   -974 meV per atom
VASP energy   -36.99 eV per cell
Energy relative to the lowest polymorph listed for this composition   0.61 eV/f.u.
Density of states at the Fermi level   0.48 states/eV per atom
Spin magnetization   0.00 μB/f.u.

Cell lengths 3.3336, 3.3336, 31.3085 Å; angles 90.00, 90.00, 120.00 degrees
Space group R-3m (No. 166, hexagonal axes)
Unique sites:
Te 0.0000 0.0000 0.0000
I 0.0000 0.0000 0.5000
F 0.0000 0.0000 0.0638

- The highest VASP energy belongs to which entry?
  CdMoSe2